# 1
This record from Alexandria describes a relaxed ZrNp2S5 crystal. The functional is GGA-PBE.

Properties
E_form (uncorrected), meV/atom: -1471
Symmetry: No. 62

a = 11.341 Å, b = 7.857 Å, c = 7.229 Å
α = 90.00°, β = 90.00°, γ = 90.00°
Positions (direct):
Zr (0.008, 0.250, 0.078)
Zr (0.492, 0.750, 0.578)
Zr (0.508, 0.250, 0.422)
Zr (0.992, 0.750, 0.922)
Np (0.176, 0.000, 0.539)
Np (0.176, 0.500, 0.539)
Np (0.324, 0.000, 0.039)
Np (0.324, 0.500, 0.039)
Np (0.676, 0.000, 0.961)
Np (0.676, 0.500, 0.961)
Np (0.824, 0.000, 0.461)
Np (0.824, 0.500, 0.461)
S (0.001, 0.250, 0.453)
S (0.087, 0.539, 0.172)
S (0.087, 0.961, 0.172)
S (0.189, 0.250, 0.842)
S (0.212, 0.750, 0.820)
S (0.288, 0.250, 0.320)
S (0.311, 0.750, 0.342)
S (0.413, 0.039, 0.672)
S (0.413, 0.461, 0.672)
S (0.499, 0.750, 0.953)
S (0.501, 0.250, 0.047)
S (0.587, 0.539, 0.328)
S (0.587, 0.961, 0.328)
S (0.689, 0.250, 0.658)
S (0.712, 0.750, 0.680)
S (0.788, 0.250, 0.180)
S (0.811, 0.750, 0.158)
S (0.913, 0.039, 0.828)
S (0.913, 0.461, 0.828)
S (0.999, 0.750, 0.547)



# 2
This record from Alexandria describes a relaxed ZrNpS3 crystal. The functional is GGA-PBE.

Properties
E_form (uncorrected), meV/atom: -1465
Symmetry: No. 62

a = 8.078 Å, b = 3.678 Å, c = 13.784 Å
α = 90.00°, β = 90.00°, γ = 90.00°
Positions (direct):
Zr (0.177, 0.250, 0.041)
Zr (0.323, 0.750, 0.541)
Zr (0.677, 0.250, 0.459)
Zr (0.823, 0.750, 0.959)
Np (0.143, 0.750, 0.299)
Np (0.357, 0.250, 0.799)
Np (0.643, 0.750, 0.201)
Np (0.857, 0.250, 0.701)
S (0.010, 0.250, 0.881)
S (0.149, 0.750, 0.701)
S (0.161, 0.250, 0.452)
S (0.339, 0.750, 0.952)
S (0.351, 0.250, 0.201)
S (0.490, 0.750, 0.381)
S (0.510, 0.250, 0.619)
S (0.649, 0.750, 0.799)
S (0.661, 0.250, 0.048)
S (0.839, 0.750, 0.548)
S (0.851, 0.250, 0.299)
S (0.990, 0.750, 0.119)



# 3
This record from Alexandria describes a relaxed ZrNp3S4 crystal. The functional is GGA-PBE.

Properties
E_form (uncorrected), meV/atom: -1408
Symmetry: No. 65

a = 6.631 Å, b = 6.631 Å, c = 3.872 Å
α = 90.00°, β = 90.00°, γ = 109.78°
Positions (direct):
Zr (0.000, 0.000, 0.000)
Np (0.000, 0.500, 0.500)
Np (0.500, 0.000, 0.500)
Np (0.500, 0.500, 0.000)
S (0.244, 0.244, 0.500)
S (0.247, 0.753, 0.000)
S (0.753, 0.247, 0.000)
S (0.756, 0.756, 0.500)



# 4
This record from Alexandria describes a relaxed ZrNp2S4 crystal. The functional is GGA-PBE.

Properties
E_form (uncorrected), meV/atom: -1315
Symmetry: No. 63

a = 6.755 Å, b = 6.755 Å, c = 12.917 Å
α = 90.00°, β = 90.00°, γ = 148.58°
Positions (direct):
Zr (0.132, 0.868, 0.750)
Zr (0.868, 0.132, 0.250)
Np (0.366, 0.634, 0.574)
Np (0.366, 0.634, 0.926)
Np (0.634, 0.366, 0.074)
Np (0.634, 0.366, 0.426)
S (0.000, 0.000, 0.000)
S (0.000, 0.000, 0.500)
S (0.283, 0.717, 0.127)
S (0.283, 0.717, 0.373)
S (0.485, 0.515, 0.750)
S (0.515, 0.485, 0.250)
S (0.717, 0.283, 0.627)
S (0.717, 0.283, 0.873)



# 5
This record from Alexandria describes a relaxed ZrNpS4 crystal. The functional is GGA-PBE.

Properties
E_form (uncorrected), meV/atom: -1365
Symmetry: No. 12

a = 6.920 Å, b = 6.920 Å, c = 6.631 Å
α = 98.46°, β = 98.46°, γ = 32.29°
Positions (direct):
Zr (0.000, 0.000, 0.000)
Np (0.500, 0.500, 0.500)
S (0.108, 0.108, 0.356)
S (0.393, 0.393, 0.126)
S (0.607, 0.607, 0.874)
S (0.892, 0.892, 0.644)



# 6
This record from Alexandria describes a relaxed ZrNp2S6 crystal. The functional is GGA-PBE.

Properties
E_form (uncorrected), meV/atom: -1117
Symmetry: No. 12

a = 7.148 Å, b = 7.148 Å, c = 8.441 Å
α = 125.17°, β = 125.17°, γ = 41.37°
Positions (direct):
Zr (0.000, 0.000, 0.000)
Np (0.185, 0.185, 0.614)
Np (0.815, 0.815, 0.386)
S (0.044, 0.044, 0.738)
S (0.242, 0.242, 0.351)
S (0.385, 0.385, 0.975)
S (0.615, 0.615, 0.025)
S (0.758, 0.758, 0.649)
S (0.956, 0.956, 0.262)



# 7
This record from Alexandria describes a relaxed Zr4NpS8 crystal. The functional is GGA-PBE.

Properties
E_form (uncorrected), meV/atom: -1573
Symmetry: No. 166

a = 7.623 Å, b = 7.623 Å, c = 7.623 Å
α = 57.20°, β = 57.20°, γ = 57.20°
Positions (direct):
Zr (0.000, 0.000, 0.000)
Zr (0.000, 0.500, 0.500)
Zr (0.500, 0.000, 0.500)
Zr (0.500, 0.500, 0.000)
Np (0.500, 0.500, 0.500)
S (0.245, 0.245, 0.754)
S (0.245, 0.754, 0.245)
S (0.246, 0.755, 0.755)
S (0.256, 0.256, 0.256)
S (0.744, 0.744, 0.744)
S (0.754, 0.245, 0.245)
S (0.755, 0.246, 0.755)
S (0.755, 0.755, 0.246)



# 8
This record from Alexandria describes a relaxed Zr3Np2S8 crystal. The functional is GGA-PBE.

Properties
E_form (uncorrected), meV/atom: -1437
Symmetry: No. 12

a = 7.785 Å, b = 7.785 Å, c = 6.362 Å
α = 105.80°, β = 105.80°, γ = 56.65°
Positions (direct):
Zr (0.000, 0.000, 0.000)
Zr (0.256, 0.744, 0.500)
Zr (0.744, 0.256, 0.500)
Np (0.250, 0.250, 0.828)
Np (0.750, 0.750, 0.172)
S (0.115, 0.115, 0.408)
S (0.131, 0.638, 0.088)
S (0.362, 0.869, 0.912)
S (0.387, 0.387, 0.589)
S (0.613, 0.613, 0.411)
S (0.638, 0.131, 0.088)
S (0.869, 0.362, 0.912)
S (0.885, 0.885, 0.592)



# 9
This record from Alexandria describes a relaxed ZrNpS4 crystal. The functional is GGA-PBE.

Properties
E_form (uncorrected), meV/atom: -1251
Symmetry: No. 65

a = 6.213 Å, b = 6.213 Å, c = 3.933 Å
α = 90.00°, β = 90.00°, γ = 90.29°
Positions (direct):
Zr (0.000, 0.000, 0.000)
Np (0.500, 0.500, 0.500)
S (0.190, 0.810, 0.500)
S (0.297, 0.297, 0.000)
S (0.703, 0.703, 0.000)
S (0.810, 0.190, 0.500)



# 10
This record from Alexandria describes a relaxed Zr2NpS crystal. The functional is GGA-PBE.

Properties
E_form (uncorrected), meV/atom: -185
Symmetry: No. 166

a = 9.771 Å, b = 9.771 Å, c = 9.771 Å
α = 19.26°, β = 19.26°, γ = 19.26°
Positions (direct):
Zr (0.104, 0.104, 0.104)
Zr (0.896, 0.896, 0.896)
Np (0.000, 0.000, 0.000)
S (0.500, 0.500, 0.500)



# 11
This record from Alexandria describes a relaxed ZrNp6S12 crystal. The functional is GGA-PBE.

Properties
E_form (uncorrected), meV/atom: -1392
Symmetry: No. 148

a = 7.779 Å, b = 7.779 Å, c = 7.779 Å
α = 99.14°, β = 99.14°, γ = 99.14°
Positions (direct):
Zr (0.000, 0.000, 0.000)
Np (0.135, 0.306, 0.628)
Np (0.306, 0.628, 0.135)
Np (0.372, 0.865, 0.694)
Np (0.628, 0.135, 0.306)
Np (0.694, 0.372, 0.865)
Np (0.865, 0.694, 0.372)
S (0.036, 0.933, 0.677)
S (0.067, 0.323, 0.964)
S (0.178, 0.580, 0.430)
S (0.323, 0.964, 0.067)
S (0.420, 0.570, 0.822)
S (0.430, 0.178, 0.580)
S (0.570, 0.822, 0.420)
S (0.580, 0.430, 0.178)
S (0.677, 0.036, 0.933)
S (0.822, 0.420, 0.570)
S (0.933, 0.677, 0.036)
S (0.964, 0.067, 0.323)



# 12
This record from Alexandria describes a relaxed ZrNp2S6 crystal. The functional is GGA-PBE.

Properties
E_form (uncorrected), meV/atom: -1325
Symmetry: No. 12

a = 8.829 Å, b = 8.829 Å, c = 7.982 Å
α = 104.52°, β = 104.52°, γ = 25.55°
Positions (direct):
Zr (0.000, 0.000, 0.000)
Np (0.336, 0.336, 0.674)
Np (0.664, 0.664, 0.326)
S (0.154, 0.154, 0.093)
S (0.176, 0.176, 0.558)
S (0.496, 0.496, 0.780)
S (0.504, 0.504, 0.220)
S (0.824, 0.824, 0.442)
S (0.846, 0.846, 0.907)



Number 11 is which compound?
ZrNp6S12



What is the formula in the tenth record?
Zr2NpS